! MnCoF3 | Alexandria via LeMat-Bulk | PBE+U | relaxed; values from VASP
&SYSTEM
  ibrav = 0, nat = 5, ntyp = 3
/
ATOMIC_SPECIES
F 19.00 F.upf
Co 58.93 Co.upf
Mn 54.94 Mn.upf
ATOMIC_POSITIONS crystal
F 0.0000 0.0000 0.5000
F 0.0000 0.5000 0.0000
F 0.5000 0.0000 0.0000
Co 0.0000 0.0000 0.0000
Mn 0.5000 0.5000 0.5000
CELL_PARAMETERS angstrom
-0.9422 -0.8150 -3.8872
-3.6883 -1.3026 1.1671
-1.4735 3.7817 -0.4357
! E = -5.13 eV per atom
! Space group = Pm-3m, No. 221
! Offset from the most stable computed form = 21 kJ/mol of formula units
! Total moment = 8.1 μB per formula unit